First-principles (GGA-PBE) data for crystalline SmBiH at its relaxed geometry, as listed in the Alexandria database.

a = 3.6769 Å, b = 3.6769 Å, c = 12.1865 Å
α = 90.00°, β = 90.00°, γ = 120.00°
With the nearest neighbours (Å) after each atom.
Element x y z (fractional)
Sm1 0.6667 0.3333 0.1256  4 H 2.26-2.28
Sm2 0.3333 0.6667 0.8744  4 H 2.26-2.28
Bi1 0.6667 0.3333 0.6514  3 Sm 3.45, 1 H 3.50, 6 Bi 3.68
Bi2 0.3333 0.6667 0.3486  3 Sm 3.45, 1 H 3.50, 6 Bi 3.68
H1 0.6667 0.3333 0.9386  4 Sm 2.26-2.28
H2 0.3333 0.6667 0.0614  4 Sm 2.26-2.28

Summary:
Crystal system: trigonal
Symmetry: P-3m1
M_tot in μB/cell: 0.00
Final energy in eV/atom: -4.382


First-principles (GGA-PBE) data for crystalline Li3Ti2NiS6 at its relaxed geometry, as listed in the Alexandria database.

a = 6.0679 Å, b = 6.0679 Å, c = 6.3481 Å
α = 99.17°, β = 99.17°, γ = 119.96°
With the nearest neighbours (Å) after each atom.
Element x y z (fractional)
Li1 0.1664 0.8336 0.5000  6 S 2.59-2.60
Li2 0.8336 0.1664 0.5000  6 S 2.59-2.60
Li3 0.5000 0.5000 0.5000  6 S 2.59-2.61
Ti1 0.3327 0.6673 0.0000  6 S 2.45-2.46
Ti2 0.6673 0.3327 0.0000  6 S 2.45-2.46
Ni1 0.0000 0.0000 0.0000  6 S 2.44
S1 0.9228 0.5914 0.7695  1 Ni 2.44, 2 Ti 2.45-2.46, 3 Li 2.59-2.60
S2 0.7450 0.7450 0.2294  1 Ni 2.44, 2 Ti 2.46, 3 Li 2.59-2.61
S3 0.0772 0.4086 0.2305  1 Ni 2.44, 2 Ti 2.45-2.46, 3 Li 2.59-2.60
S4 0.5914 0.9228 0.7695  1 Ni 2.44, 2 Ti 2.45-2.46, 3 Li 2.59-2.60
S5 0.2550 0.2550 0.7706  1 Ni 2.44, 2 Ti 2.46, 3 Li 2.59-2.61
S6 0.4086 0.0772 0.2305  1 Ni 2.44, 2 Ti 2.45-2.46, 3 Li 2.59-2.60

Summary:
Crystal system: monoclinic
Symmetry: C2/m
Formation energy from raw total energies in meV/atom: -1148
M_tot in μB/cell: 0.97